This record from Alexandria describes a geometry-optimized CsU2TlCl8 structure. The functional is GGA-PBE.

Lattice parameters (Å, degrees): 7.7092 7.7092 8.6361 90.00 90.00 120.00
With the nearest neighbours (Å) after each atom.
Positions (direct):
1 Cl 0.3333 0.6667 0.6147  1 U 2.65
2 Cl 0.6084 0.6629 0.1469  2 U 2.85-2.89, 1 Tl 3.10
3 Cl 0.6629 0.0544 0.8531  2 U 2.85-2.89, 1 Tl 3.10
4 Cl 0.3916 0.3372 0.8531  2 U 2.85-2.89, 1 Tl 3.10
5 Cl 0.3372 0.9456 0.1469  2 U 2.85-2.89, 1 Tl 3.10
6 Cl 0.9456 0.6084 0.8531  2 U 2.85-2.89, 1 Tl 3.10
7 Cl 0.0544 0.3916 0.1469  2 U 2.85-2.89, 1 Tl 3.10
8 Cl 0.6667 0.3333 0.3853  1 U 2.65
9 U 0.3333 0.6667 0.9211  7 Cl 2.65-2.89
10 U 0.6667 0.3333 0.0789  7 Cl 2.65-2.89
11 Tl 0.0000 0.0000 0.0000  6 Cl 3.10
12 Cs 0.0000 0.0000 0.5000  12 Cl 4.16-4.56, 2 Tl 4.32

Values from the calculation:
The space group is No. 147. The calculation puts the formation energy without anion corrections at -1565 meV per atom.

***

This record from Alexandria describes a geometry-optimized KAlNi4 structure. The functional is GGA-PBE.

Lattice parameters (Å, degrees): 4.9668 4.9668 4.9668 60.00 60.00 60.00
With the nearest neighbours (Å) after each atom.
Positions (direct):
1 Ni 0.8706 0.3765 0.3765  6 Ni 2.45-2.51
2 Ni 0.3765 0.8706 0.3765  6 Ni 2.45-2.51
3 Ni 0.3765 0.3765 0.8706  6 Ni 2.45-2.51
4 Ni 0.3765 0.3765 0.3765  6 Ni 2.45-2.51
5 K 0.0000 0.0000 0.0000  12 Ni 2.92, 4 Al 3.04
6 Al 0.7500 0.7500 0.7500  12 Ni 2.91, 4 K 3.04

Values from the calculation:
The space group is No. 216. Its formation energy is 312 meV/atom.

***

This record from Alexandria describes a geometry-optimized LiDy2PaO6 structure. The functional is GGA-PBE.

Lattice parameters (Å, degrees): 5.8074 5.8076 6.0679 61.41 61.41 60.00
With the nearest neighbours (Å) after each atom.
Positions (direct):
1 O 0.6979 0.1351 0.7627  1 Pa 2.21, 2 Dy 2.25-2.38, 1 Li 2.28
2 O 0.6096 0.2256 0.2360  1 Pa 2.18, 2 Dy 2.25-2.35
3 O 0.2256 0.9290 0.2359  1 Pa 2.18, 2 Dy 2.25-2.35
4 O 0.9289 0.6096 0.2360  1 Pa 2.18, 2 Dy 2.25-2.35
5 O 0.1350 0.4044 0.7627  1 Pa 2.21, 2 Dy 2.25-2.38, 1 Li 2.27
6 O 0.4043 0.6979 0.7627  1 Pa 2.21, 2 Dy 2.25-2.38, 1 Li 2.27
7 Li 0.7975 0.7972 0.6077  3 O 2.27-2.28
8 Dy 0.0217 0.0217 0.9350  6 O 2.25-2.35
9 Dy 0.5266 0.5266 0.4202  6 O 2.25-2.38
10 Pa 0.3146 0.3146 0.0563  6 O 2.18-2.21

Values from the calculation:
The space group is No. 146. The calculation puts the formation energy without anion corrections at -3285 meV per atom.

***

What is the formula in the third record? LiDy2PaO6